(1)
PBE-GGA Pr6Co2Pd, optimized geometry; formation energy = -0.185 eV/atom
1.0
8.1004 0.1425 -2.8294
-4.2572 6.9815 -2.6033
0.0290 -0.1425 8.5802
Pr Co Pd
12 4 2
direct
0.5410 0.7192 0.8219 Pr
0.4590 0.2808 0.1781 Pr
0.1027 0.2808 0.8219 Pr
0.8973 0.7192 0.1781 Pr
0.8129 0.7636 0.5765 Pr
0.1871 0.2364 0.4235 Pr
0.1871 0.7636 0.9507 Pr
0.8129 0.2364 0.0493 Pr
0.6831 0.3563 0.6733 Pr
0.3169 0.6437 0.3267 Pr
0.3169 0.9902 0.6733 Pr
0.6831 0.0098 0.3267 Pr
0.5000 0.3866 0.8866 Co
0.5000 0.6134 0.1134 Co
0.6673 0.0000 0.6673 Co
0.3327 0.0000 0.3327 Co
0.0000 0.5000 0.5000 Pd
0.0000 0.0000 0.0000 Pd



(2)
PBE-GGA PrPuCoPd, optimized geometry; formation energy = -0.164 eV/atom
1.0
-1.5829 -4.7045 0.0847
1.3992 -3.0238 3.6802
-3.3007 -1.4473 3.4140
Pr Co Pd Pu
1 1 1 1
direct
0.7500 0.7500 0.7500 Pr
0.5000 0.5000 0.5000 Co
0.0000 0.0000 0.0000 Pd
0.2500 0.2500 0.2500 Pu



(3)
PBE-GGA PrScCoPd, optimized geometry; formation energy = -0.351 eV/atom
1.0
4.8301 0.0000 0.0000
2.4150 4.1830 0.0000
2.4150 1.3943 3.9437
Pr Sc Co Pd
1 1 1 1
direct
0.5000 0.5000 0.5000 Pr
0.0000 0.0000 0.0000 Sc
0.7500 0.7500 0.7500 Co
0.2500 0.2500 0.2500 Pd



(4)
PBE-GGA PrSmCoPd, optimized geometry; formation energy = -0.327 eV/atom
1.0
5.0068 0.0000 0.0000
2.5034 4.3360 0.0000
2.5034 1.4453 4.0880
Pr Co Pd Sm
1 1 1 1
direct
0.5000 0.5000 0.5000 Pr
0.7500 0.7500 0.7500 Co
0.2500 0.2500 0.2500 Pd
0.0000 0.0000 0.0000 Sm



(5)
PBE-GGA Pr2Th2CoPd2, optimized geometry; formation energy = -0.388 eV/atom
1.0
-1.6210 2.3624 -2.5514
5.0890 -3.0577 -6.0618
-1.9951 -4.6073 -5.8719
Pr Th Co Pd
2 2 1 2
direct
0.5546 0.3210 0.8903 Pr
0.4454 0.6790 0.1097 Pr
0.1964 0.1153 0.6078 Th
0.8036 0.8847 0.3922 Th
0.0000 0.0000 0.0000 Co
0.1199 0.6775 0.7605 Pd
0.8801 0.3225 0.2395 Pd



(6)
PBE-GGA PrTmCoPd, optimized geometry; formation energy = -0.390 eV/atom
1.0
4.9269 0.0000 0.0000
2.4634 4.2668 0.0000
2.4634 1.4223 4.0228
Pr Tm Co Pd
1 1 1 1
direct
0.2500 0.2500 0.2500 Pr
0.7500 0.7500 0.7500 Tm
0.5000 0.5000 0.5000 Co
0.0000 0.0000 0.0000 Pd



(7)
PBE-GGA PrYCoPd, optimized geometry; formation energy = -0.362 eV/atom
1.0
4.9670 0.0000 0.0000
2.4835 4.3016 0.0000
2.4835 1.4339 4.0556
Pr Y Co Pd
1 1 1 1
direct
0.2500 0.2500 0.2500 Pr
0.7500 0.7500 0.7500 Y
0.5000 0.5000 0.5000 Co
0.0000 0.0000 0.0000 Pd



(8)
PBE-GGA CoPd3Pt, optimized geometry; formation energy = 0.085 eV/atom; polymorph energy (0 for the lowest one) = 0.0000 eV per atom
1.0
4.0290 2.0212 0.4471
-0.1094 6.1054 -3.6193
1.8200 -0.0584 6.8609
Co Pd Pt
2 6 2
direct
0.3699 0.7051 0.5865 Co
0.8699 0.5865 0.7051 Co
0.1261 0.7599 0.0196 Pd
0.6261 0.0196 0.7599 Pd
0.8698 0.2082 0.0832 Pd
0.3698 0.0832 0.2082 Pd
0.6136 0.2717 0.5313 Pd
0.1136 0.5313 0.2717 Pd
0.6192 0.6462 0.1463 Pt
0.1192 0.1463 0.6462 Pt



(9)
PBE-GGA Co2Pd4Pt, optimized geometry; formation energy = 0.307 eV/atom
1.0
6.5391 -0.0078 0.0135
-2.1860 6.1629 -0.0135
-2.1671 -3.0842 5.3433
Co Pd Pt
4 8 2
direct
0.8750 0.1071 0.4821 Co
0.5179 0.3929 0.6250 Co
0.3750 0.8929 0.7679 Co
0.2321 0.6071 0.1250 Co
0.1511 0.9230 0.3929 Pd
0.6071 0.7582 0.5301 Pd
0.9781 0.5770 0.7199 Pd
0.2801 0.2582 0.8571 Pd
0.5989 0.7418 0.0219 Pd
0.7719 0.2418 0.8489 Pd
0.4699 0.0770 0.2281 Pd
0.1429 0.4230 0.4011 Pd
0.0000 0.0000 0.0000 Pt
0.7500 0.5000 0.2500 Pt



(10)
PBE-GGA CoPd6Pt2, optimized geometry; formation energy = 0.061 eV/atom; polymorph energy (0 for the lowest one) = 0.0105 eV per atom
1.0
-0.0673 0.3733 4.6478
-1.2916 -3.5630 -2.0719
7.9770 -1.7449 0.2557
Co Pd Pt
1 6 2
direct
0.0000 0.0000 0.5000 Co
0.0008 0.0016 0.8255 Pd
0.6685 0.3371 0.2790 Pd
0.3315 0.6629 0.7210 Pd
0.6675 0.3351 0.6043 Pd
0.3325 0.6649 0.3957 Pd
0.9992 0.9984 0.1745 Pd
0.6680 0.3359 0.9434 Pt
0.3320 0.6641 0.0566 Pt



(11)
PBE-GGA CoPd5Pt6, optimized geometry; formation energy = -0.043 eV/atom
1.0
3.7448 -0.0071 -1.0906
-2.5315 6.6922 -1.7494
0.1077 -0.3153 7.3582
Co Pt Pd
1 6 5
direct
0.0000 0.0000 0.0000 Co
0.2465 0.0817 0.4110 Pt
0.7535 0.5890 0.9183 Pt
0.7425 0.2422 0.2422 Pt
0.2575 0.7578 0.7578 Pt
0.2465 0.4110 0.0817 Pt
0.7535 0.9183 0.5890 Pt
0.5000 0.1636 0.8364 Pd
0.0000 0.3343 0.6657 Pd
0.5000 0.5000 0.5000 Pd
0.0000 0.6657 0.3343 Pd
0.5000 0.8364 0.1636 Pd



(12)
PBE-GGA Co2PdPt9, optimized geometry; formation energy = -0.065 eV/atom
1.0
-1.7847 2.2397 -2.6575
-3.4502 -1.5008 1.0522
-1.2590 8.5224 8.0278
Co Pd Pt
2 1 9
direct
0.0000 0.0000 0.3330 Co
0.0000 0.0000 0.6670 Co
0.0000 0.0000 0.0000 Pd
0.5000 0.5000 0.0000 Pt
0.5000 0.5000 0.3372 Pt
0.5000 0.5000 0.6628 Pt
0.5000 0.0000 0.1737 Pt
0.5000 0.0000 0.5000 Pt
0.5000 0.0000 0.8263 Pt
0.0000 0.5000 0.1737 Pt
0.0000 0.5000 0.5000 Pt
0.0000 0.5000 0.8263 Pt



Copy entry 7 word for word.
PBE-GGA PrYCoPd, optimized geometry; formation energy = -0.362 eV/atom
1.0
4.9670 0.0000 0.0000
2.4835 4.3016 0.0000
2.4835 1.4339 4.0556
Pr Y Co Pd
1 1 1 1
direct
0.2500 0.2500 0.2500 Pr
0.7500 0.7500 0.7500 Y
0.5000 0.5000 0.5000 Co
0.0000 0.0000 0.0000 Pd